[1]
Density functional theory data (PBE) for a geometry-optimized Tm4Al2Ag structure.

Cell lengths 5.0447, 5.0447, 24.4557 Å; angles 90.00, 90.00, 120.00 degrees
Space group R-3m (No. 166, hexagonal axes)
Inequivalent atoms, fractional coordinates:
Tm  0.0000  0.0000  0.1205 (multiplicity 6)
Tm  0.0000  0.0000  0.3718 (multiplicity 6)
Al  0.0000  0.0000  0.2494 (multiplicity 6)
Ag  0.0000  0.0000  0.5000 (multiplicity 3)

Calculated total energy   -4.243 eV per atom

---

[2]
Density functional theory data (PBE) for a geometry-optimized Tm4Al3Ag structure.

Cell lengths 3.5460, 3.5460, 14.3950 Å; angles 90.00, 90.00, 90.00 degrees
Space group P4/mmm (No. 123)
Inequivalent atoms, fractional coordinates:
Tm  0.0000  0.0000  0.1233 (multiplicity 2)
Tm  0.0000  0.0000  0.3725 (multiplicity 2)
Al  0.5000  0.5000  0.0000 (multiplicity 1)
Al  0.5000  0.5000  0.2475 (multiplicity 2)
Ag  0.5000  0.5000  0.5000 (multiplicity 1)

Calculated total energy   -4.370 eV per atom
Offset from the most stable computed form   0.0 meV per atom

---

[3]
Density functional theory data (PBE) for a geometry-optimized TmAl4Ag structure.

Cell lengths 4.2032, 12.3297, 4.3474 Å; angles 90.00, 90.00, 90.00 degrees
Space group Cmmm (No. 65)
Inequivalent atoms, fractional coordinates:
Tm  0.0000  0.0000  0.0000 (multiplicity 2)
Al  0.0000  0.1710  0.5000 (multiplicity 4)
Al  0.0000  0.3201  0.0000 (multiplicity 4)
Ag  0.0000  0.5000  0.5000 (multiplicity 2)

Calculated total energy   -3.871 eV per atom
Offset from the most stable computed form   0.0 meV per atom

---

[4]
Density functional theory data (PBE) for a geometry-optimized Tm3Al2Ag2 structure.

Cell lengths 4.2163, 21.6452, 3.4245 Å; angles 90.00, 90.00, 90.00 degrees
Space group Cmmm (No. 65)
Inequivalent atoms, fractional coordinates:
Tm  0.0000  0.0000  0.0000 (multiplicity 2)
Tm  0.0000  0.1583  0.0000 (multiplicity 4)
Al  0.0000  0.2830  0.5000 (multiplicity 4)
Ag  0.0000  0.4201  0.5000 (multiplicity 4)

Calculated total energy   -4.105 eV per atom

---

Number 1: ΔH_f (0 K) -0.212 eV/atom. Number 2: ΔH_f (0 K) -0.375 eV/atom. Number 3: ΔH_f (0 K) -0.155 eV/atom. Number 4: ΔH_f (0 K) -0.305 eV/atom.